# 1
VASP calculation (GGA-PBEsol) on a geometry-optimized K2NaZnB5O10 structure.

The value obtained for the density of states at the Fermi level is 0.0 states/eV per cell. The uncorrected formation energy is -2.286 eV per atom. Its crystal system is monoclinic.

Lattice parameters (Å, degrees): 7.6065 7.6065 19.3658 95.07 95.07 116.77
Element x y z (fractional)
K (0.9990, 0.8122, 0.5616)
K (0.1878, 0.0010, 0.9384)
K (0.0010, 0.1878, 0.4384)
K (0.8122, 0.9990, 0.0616)
K (0.5378, 0.3705, 0.5776)
K (0.6295, 0.4622, 0.9224)
K (0.4622, 0.6295, 0.4224)
K (0.3705, 0.5378, 0.0776)
Na (0.8521, 0.1479, 0.7500)
Na (0.1479, 0.8521, 0.2500)
Na (0.3530, 0.6470, 0.7500)
Na (0.6470, 0.3530, 0.2500)
Zn (0.0428, 0.3540, 0.6109)
Zn (0.6460, 0.9572, 0.8891)
Zn (0.9572, 0.6460, 0.3891)
Zn (0.3540, 0.0428, 0.1109)
B (0.6821, 0.9968, 0.5844)
B (0.0032, 0.3179, 0.9156)
B (0.3179, 0.0032, 0.4156)
B (0.9968, 0.6821, 0.0844)
B (0.3717, 0.6876, 0.5825)
B (0.3124, 0.6283, 0.9175)
B (0.6283, 0.3124, 0.4175)
B (0.6876, 0.3717, 0.0825)
B (0.4420, 0.9902, 0.6688)
B (0.0098, 0.5580, 0.8312)
B (0.5580, 0.0098, 0.3312)
B (0.9902, 0.4420, 0.1688)
B (0.2735, 0.1967, 0.7061)
B (0.8033, 0.7265, 0.7939)
B (0.7265, 0.8033, 0.2939)
B (0.1967, 0.2735, 0.2061)
B (0.4389, 0.0939, 0.7968)
B (0.9061, 0.5611, 0.7032)
B (0.5611, 0.9061, 0.2032)
B (0.0939, 0.4389, 0.2968)
O (0.8541, 0.0917, 0.5586)
O (0.9083, 0.1459, 0.9414)
O (0.1459, 0.9083, 0.4414)
O (0.0917, 0.8541, 0.0586)
O (0.6299, 0.0847, 0.6390)
O (0.9153, 0.3701, 0.8610)
O (0.3701, 0.9153, 0.3610)
O (0.0847, 0.6299, 0.1390)
O (0.5508, 0.7969, 0.5556)
O (0.2031, 0.4492, 0.9444)
O (0.4492, 0.2031, 0.4444)
O (0.7969, 0.5508, 0.0556)
O (0.3274, 0.7792, 0.6381)
O (0.2208, 0.6726, 0.8619)
O (0.6726, 0.2208, 0.3619)
O (0.7792, 0.3274, 0.1381)
O (0.2537, 0.4966, 0.5538)
O (0.5034, 0.7463, 0.9462)
O (0.7463, 0.5034, 0.4462)
O (0.4966, 0.2537, 0.0538)
O (0.3224, 0.0947, 0.6544)
O (0.9053, 0.6776, 0.8456)
O (0.6776, 0.9053, 0.3456)
O (0.0947, 0.3224, 0.1544)
O (0.4921, 0.0005, 0.7441)
O (0.9995, 0.5079, 0.7559)
O (0.5079, 0.9995, 0.2559)
O (0.0005, 0.4921, 0.2441)
O (0.3303, 0.1947, 0.7773)
O (0.8053, 0.6697, 0.7227)
O (0.6697, 0.8053, 0.2227)
O (0.1947, 0.3303, 0.2773)
O (0.1749, 0.3007, 0.6919)
O (0.6993, 0.8251, 0.8081)
O (0.8251, 0.6993, 0.3081)
O (0.3007, 0.1749, 0.1919)
O (0.4894, 0.0934, 0.8649)
O (0.9066, 0.5106, 0.6351)
O (0.5106, 0.9066, 0.1351)
O (0.0934, 0.4894, 0.3649)

---

# 2
VASP calculation (GGA-PBEsol) on a geometry-optimized K2NaBP2 structure.

As for the formation energy: -0.350 eV per atom. The value obtained for the density of states at the Fermi level is 0.0 states/eV per cell. Its crystal system is monoclinic.

Lattice parameters (Å, degrees): 4.9375 6.6998 10.6017 84.20 76.53 68.38
Element x y z (fractional)
P (0.3348, 0.2397, 0.0907)
P (0.4662, 0.6954, 0.3722)
P (0.6652, 0.7603, 0.9093)
P (0.5338, 0.3046, 0.6278)
K (0.9826, 0.8573, 0.1775)
K (0.1759, 0.2385, 0.4096)
K (0.0174, 0.1427, 0.8225)
K (0.8241, 0.7615, 0.5904)
B (0.5000, 0.5000, 0.5000)
B (0.5000, 0.0000, 0.0000)
Na (0.2985, 0.5365, 0.8665)
Na (0.7015, 0.4635, 0.1335)